TbPr2HoSe6: relaxed, GGA-PBE.

- spin magnetization (μB/cell) = 0.00
- raw total energy (eV/atom) = -5.8111
- volume (Å³/atom) = 30.84
- E_form (uncorrected) (eV/atom) = -1.84

a = 7.3876 Å, b = 7.3876 Å, c = 19.5765 Å
α = 90.00°, β = 90.00°, γ = 120.00°
With the nearest neighbours (Å) after each atom.
Space group R3 (No. 146, hexagonal axes)
Asymmetric unit:
Tb  0.0000  0.0000  0.0000 (multiplicity 3)  6 Se 2.85-2.91
Pr  0.0000  0.0000  0.2020 (multiplicity 3)  6 Se 2.96-3.05
Pr  0.0000  0.0000  0.7023 (multiplicity 3)  6 Se 2.96-3.05
Ho  0.0000  0.0000  0.5005 (multiplicity 3)  6 Se 2.83-2.89
Se  0.0205  0.6429  0.7624 (multiplicity 9)  1 Ho 2.83, 1 Tb 2.91, 2 Pr 2.96-3.05
Se  0.0218  0.3097  0.5953 (multiplicity 9)  1 Tb 2.85, 1 Ho 2.89, 2 Pr 2.96-3.05

***

TbPr2HoSe5: relaxed, GGA-PBE.

- spin magnetization (μB/cell) = 0.00
- raw total energy (eV/atom) = -5.3210
- volume (Å³/atom) = 31.27
- E_form (uncorrected) (eV/atom) = -1.30

a = 5.1121 Å, b = 5.1121 Å, c = 10.7682 Å
α = 90.00°, β = 90.00°, γ = 90.00°
With the nearest neighbours (Å) after each atom.
Space group P4/mmm (No. 123)
Asymmetric unit:
Tb  0.0000  0.0000  0.0000 (multiplicity 1)  2 Se 2.65
Pr  0.5000  0.5000  0.3093 (multiplicity 2)  5 Se 3.28-3.33
Ho  0.0000  0.0000  0.5000 (multiplicity 1)  6 Se 2.56-2.73
Se  0.0000  0.0000  0.2462 (multiplicity 2)  1 Tb 2.65, 1 Ho 2.73
Se  0.0000  0.5000  0.5000 (multiplicity 2)  2 Ho 2.56
Se  0.5000  0.5000  0.0000 (multiplicity 1)  2 Pr 3.33, 4 Tb 3.61

***

Tb2Pr3HoSe6: relaxed, GGA-PBE.

- spin magnetization (μB/cell) = 0.00
- raw total energy (eV/atom) = -5.8980
- volume (Å³/atom) = 25.72
- E_form (uncorrected) (eV/atom) = -1.81

a = 7.1416 Å, b = 12.4355 Å, c = 7.3514 Å
α = 90.00°, β = 109.03°, γ = 90.00°
With the nearest neighbours (Å) after each atom.
Space group C2/m (No. 12)
Asymmetric unit:
Tb  0.0000  0.1668  0.0000 (multiplicity 4)  6 Se 2.89-2.90
Pr  0.0000  0.0000  0.5000 (multiplicity 2)  6 Se 3.02-3.03
Pr  0.0000  0.3315  0.5000 (multiplicity 4)  6 Se 3.02-3.03
Ho  0.0000  0.5000  0.0000 (multiplicity 2)  6 Se 2.87
Se  0.2428  0.3347  0.2327 (multiplicity 8)  1 Ho 2.87, 2 Tb 2.89, 3 Pr 3.02-3.03
Se  0.2472  0.0000  0.2342 (multiplicity 4)  1 Ho 2.87, 2 Tb 2.90, 3 Pr 3.03

***

Tb4Pr3HoSe8: relaxed, GGA-PBE.

- spin magnetization (μB/cell) = 0.00
- raw total energy (eV/atom) = -5.8687
- volume (Å³/atom) = 25.41
- E_form (uncorrected) (eV/atom) = -1.79

a = 8.2761 Å, b = 8.2761 Å, c = 20.5609 Å
α = 90.00°, β = 90.00°, γ = 120.00°
With the nearest neighbours (Å) after each atom.
Space group R-3m (No. 166, hexagonal axes)
Asymmetric unit:
Tb  0.0000  0.0000  0.0000 (multiplicity 3)  6 Se 2.95
Tb  0.0000  0.5000  0.0000 (multiplicity 9)  6 Se 2.88
Pr  0.0000  0.5000  0.5000 (multiplicity 9)  6 Se 3.00-3.01
Ho  0.0000  0.0000  0.5000 (multiplicity 3)  6 Se 2.93
Se  0.0000  0.0000  0.2553 (multiplicity 6)  3 Tb 2.88, 3 Pr 3.00
Se  0.0087  0.5044  0.2531 (multiplicity 18)  3 Tb 2.88-2.95, 1 Ho 2.93, 2 Pr 3.00

***

TbPr3Ho2Se6: relaxed, GGA-PBE.

- spin magnetization (μB/cell) = 0.00
- raw total energy (eV/atom) = -5.8863
- volume (Å³/atom) = 25.60
- E_form (uncorrected) (eV/atom) = -1.80

a = 7.1191 Å, b = 12.3951 Å, c = 7.3604 Å
α = 90.00°, β = 108.94°, γ = 90.00°
With the nearest neighbours (Å) after each atom.
Space group C2/m (No. 12)
Asymmetric unit:
Tb  0.0000  0.0000  0.0000 (multiplicity 2)  6 Se 2.89
Pr  0.0000  0.1651  0.5000 (multiplicity 4)  6 Se 3.02-3.03
Pr  0.0000  0.5000  0.5000 (multiplicity 2)  6 Se 3.01-3.03
Ho  0.0000  0.3336  0.0000 (multiplicity 4)  6 Se 2.86-2.87
Se  0.2411  0.5000  0.2311 (multiplicity 4)  2 Ho 2.86, 1 Tb 2.89, 3 Pr 3.01-3.02
Se  0.2452  0.1680  0.2322 (multiplicity 8)  2 Ho 2.87, 1 Tb 2.89, 3 Pr 3.02-3.03

***

Tb3PrHo2Se6: relaxed, GGA-PBE.

- spin magnetization (μB/cell) = 0.00
- raw total energy (eV/atom) = -5.8289
- volume (Å³/atom) = 24.56
- E_form (uncorrected) (eV/atom) = -1.77

a = 7.1043 Å, b = 12.3631 Å, c = 7.1182 Å
α = 90.00°, β = 109.46°, γ = 90.00°
With the nearest neighbours (Å) after each atom.
Space group C2/m (No. 12)
Asymmetric unit:
Tb  0.0000  0.0000  0.0000 (multiplicity 2)  6 Se 2.84-2.93
Tb  0.0000  0.3420  0.0000 (multiplicity 4)  6 Se 2.88-2.93
Pr  0.0000  0.5000  0.5000 (multiplicity 2)  6 Se 2.97-3.00
Ho  0.0000  0.1652  0.5000 (multiplicity 4)  6 Se 2.85-2.90
Se  0.2371  0.0000  0.7478 (multiplicity 4)  3 Tb 2.84-2.88, 2 Ho 2.85, 1 Pr 2.97
Se  0.2425  0.1733  0.2456 (multiplicity 8)  2 Ho 2.89-2.90, 3 Tb 2.89-2.93, 1 Pr 3.00